1.
First-principles (GGA-PBE) data for crystalline Nb3HN at its relaxed geometry, as listed in Alexandria via LeMat-Bulk.

Summary:
total DFT energy (no corrections) = -8.890 eV per atom

Lattice parameters (Å, degrees): 5.6294 8.1243 5.4876 90.00 90.00 90.00
Space group Pnma (No. 62)
Asymmetric unit:
Nb  0.0733  0.2500  0.1295 x4
Nb  0.1672  0.0746  0.6548 x8
H  0.0573  0.7500  0.5297 x4
N  0.0000  0.0000  0.0000 x4

***

2.
First-principles (GGA-PBE) data for crystalline NbH2N at its relaxed geometry, as listed in Alexandria via LeMat-Bulk.

Summary:
total DFT energy (no corrections) = -5.759 eV per atom

Lattice parameters (Å, degrees): 4.8078 4.8078 4.8078 90.00 90.00 90.00
Space group Fm-3m (No. 225)
Asymmetric unit:
Nb  0.0000  0.0000  0.0000 x4
H  0.2500  0.2500  0.2500 x8
N  0.0000  0.0000  0.5000 x4

***

3.
First-principles (GGA-PBE) data for crystalline NbHN at its relaxed geometry, as listed in Alexandria via LeMat-Bulk.

Summary:
total DFT energy (no corrections) = -7.758 eV per atom

Lattice parameters (Å, degrees): 11.0859 3.0631 3.7113 90.00 105.19 90.00
Space group Cm (No. 8)
Asymmetric unit:
Nb  0.0000  0.0000  0.0000 x2
Nb  0.2273  0.5000  0.8204 x2
H  0.1094  0.0000  0.6986 x2
H  0.4381  0.5000  0.4889 x2
N  0.1427  0.5000  0.2493 x2
N  0.3579  0.0000  0.9164 x2

***

4.
First-principles (GGA-PBE) data for crystalline Nb2HN at its relaxed geometry, as listed in Alexandria via LeMat-Bulk.

Summary:
total DFT energy (no corrections) = -7.728 eV per atom

Lattice parameters (Å, degrees): 5.5569 5.5569 5.5569 90.00 90.00 90.00
Space group Fm-3m (No. 225)
Asymmetric unit:
Nb  0.2500  0.2500  0.2500 x8
H  0.0000  0.0000  0.0000 x4
N  0.0000  0.0000  0.5000 x4